# 1
First-principles (PBE) data for a relaxed Tb2Nd6DyMg crystal, as listed in Alexandria via LeMat-Bulk.

Geometry as CIF:
```
data_Tb2Nd6DyMg
_chemical_formula_sum 'Tb8 Nd24 Dy4 Mg4'
_space_group_name_H-M_alt 'C 1 2/c 1'
_space_group_IT_number 15
_space_group_name_Hall '-C 2yc'
_cell_length_a 9.338
_cell_length_b 15.017
_cell_length_c 9.639
_cell_angle_alpha 90.00
_cell_angle_beta 97.96
_cell_angle_gamma 90.00
loop_
_atom_site_label
_atom_site_type_symbol
_atom_site_fract_x
_atom_site_fract_y
_atom_site_fract_z
_atom_site_occupancy
Tb1 Tb 0.248 0.049 0.052 1
Nd1 Nd 0.058 0.181 0.449 1
Nd2 Nd 0.103 0.398 0.612 1
Nd3 Nd 0.216 0.217 0.806 1
Dy1 Dy 0.000 0.021 0.750 1
Mg1 Mg 0.000 0.410 0.250 1
```

Computed properties:
E_form = 0.115 eV per atom
Density of states at the Fermi level = 14.26 states/eV/f.u.
M_tot = 0.000 μB per formula unit
VASP energy = -4.291 eV/atom

# 2
First-principles (PBE) data for a relaxed TbNd2Dy2Mg crystal, as listed in Alexandria via LeMat-Bulk.

Geometry as CIF:
```
data_TbNd2Dy2Mg
_chemical_formula_sum 'Tb4 Nd8 Dy8 Mg4'
_space_group_name_H-M_alt 'I b a m'
_space_group_IT_number 72
_space_group_name_Hall '-I 2 2c'
_cell_length_a 6.823
_cell_length_b 17.737
_cell_length_c 6.410
_cell_angle_alpha 90.00
_cell_angle_beta 90.00
_cell_angle_gamma 90.00
loop_
_atom_site_label
_atom_site_type_symbol
_atom_site_fract_x
_atom_site_fract_y
_atom_site_fract_z
_atom_site_occupancy
Tb1 Tb 0.000 0.000 0.250 1
Nd1 Nd 0.163 0.153 0.000 1
Dy1 Dy 0.156 0.349 0.000 1
Mg1 Mg 0.000 0.500 0.250 1
```

Computed properties:
E_form = 0.189 eV per atom
Density of states at the Fermi level = 7.75 states/eV/f.u.
M_tot = 0.000 μB per formula unit
VASP energy = -3.972 eV/atom

# 3
First-principles (PBE) data for a relaxed Tb2NdDyMg crystal, as listed in Alexandria via LeMat-Bulk.

Geometry as CIF:
```
data_Tb2NdDyMg
_chemical_formula_sum 'Tb4 Nd2 Dy2 Mg2'
_space_group_name_H-M_alt 'P 1 21/m 1'
_space_group_IT_number 11
_space_group_name_Hall '-P 2yb'
_cell_length_a 6.163
_cell_length_b 5.623
_cell_length_c 9.453
_cell_angle_alpha 90.00
_cell_angle_beta 108.94
_cell_angle_gamma 90.00
loop_
_atom_site_label
_atom_site_type_symbol
_atom_site_fract_x
_atom_site_fract_y
_atom_site_fract_z
_atom_site_occupancy
Tb1 Tb 0.051 0.250 0.298 1
Tb2 Tb 0.124 0.750 0.106 1
Nd1 Nd 0.464 0.250 0.111 1
Dy1 Dy 0.336 0.750 0.502 1
Mg1 Mg 0.269 0.250 0.692 1
```

Computed properties:
E_form = 0.017 eV per atom
Density of states at the Fermi level = 7.37 states/eV/f.u.
M_tot = 0.000 μB per formula unit
VASP energy = -4.028 eV/atom

# 4
First-principles (PBE) data for a relaxed Tb4NdDy2Mg crystal, as listed in Alexandria via LeMat-Bulk.

Geometry as CIF:
```
data_Tb4NdDy2Mg
_chemical_formula_sum 'Tb4 Nd1 Dy2 Mg1'
_space_group_name_H-M_alt 'P 4/m m m'
_space_group_IT_number 123
_space_group_name_Hall '-P 4 2'
_cell_length_a 5.795
_cell_length_b 5.795
_cell_length_c 7.452
_cell_angle_alpha 90.00
_cell_angle_beta 90.00
_cell_angle_gamma 90.00
loop_
_atom_site_label
_atom_site_type_symbol
_atom_site_fract_x
_atom_site_fract_y
_atom_site_fract_z
_atom_site_occupancy
Tb1 Tb 0.000 0.500 0.245 1
Nd1 Nd 0.000 0.000 0.000 1
Dy1 Dy 0.000 0.000 0.500 1
Dy2 Dy 0.500 0.500 0.500 1
Mg1 Mg 0.500 0.500 0.000 1
```

Computed properties:
E_form = 0.097 eV per atom
Density of states at the Fermi level = 15.40 states/eV/f.u.
M_tot = 0.002 μB per formula unit
VASP energy = -4.164 eV/atom

# 5
First-principles (PBE) data for a relaxed TbNd2Dy6Mg crystal, as listed in Alexandria via LeMat-Bulk.

Geometry as CIF:
```
data_TbNd2Dy6Mg
_chemical_formula_sum 'Tb4 Nd8 Dy24 Mg4'
_space_group_name_H-M_alt 'C 1 2/c 1'
_space_group_IT_number 15
_space_group_name_Hall '-C 2yc'
_cell_length_a 9.916
_cell_length_b 19.644
_cell_length_c 6.637
_cell_angle_alpha 90.00
_cell_angle_beta 99.16
_cell_angle_gamma 90.00
loop_
_atom_site_label
_atom_site_type_symbol
_atom_site_fract_x
_atom_site_fract_y
_atom_site_fract_z
_atom_site_occupancy
Tb1 Tb 0.000 0.007 0.250 1
Nd1 Nd 0.232 0.418 0.998 1
Dy1 Dy 0.058 0.147 0.528 1
Dy2 Dy 0.117 0.412 0.484 1
Dy3 Dy 0.176 0.261 0.223 1
Mg1 Mg 0.000 0.293 0.750 1
```

Computed properties:
E_form = 0.104 eV per atom
Density of states at the Fermi level = 14.60 states/eV/f.u.
M_tot = 0.000 μB per formula unit
VASP energy = -4.234 eV/atom

# 6
First-principles (PBE) data for a relaxed Nd2DyMgTe5 crystal, as listed in Alexandria via LeMat-Bulk.

Geometry as CIF:
```
data_Nd2DyMgTe5
_chemical_formula_sum 'Nd8 Dy4 Mg4 Te20'
_space_group_name_H-M_alt 'C m c 21'
_space_group_IT_number 36
_space_group_name_Hall 'C 2c -2'
_cell_length_a 4.350
_cell_length_b 19.047
_cell_length_c 13.569
_cell_angle_alpha 90.00
_cell_angle_beta 90.00
_cell_angle_gamma 90.00
loop_
_atom_site_label
_atom_site_type_symbol
_atom_site_fract_x
_atom_site_fract_y
_atom_site_fract_z
_atom_site_occupancy
Nd1 Nd 0.000 0.112 0.000 1
Nd2 Nd 0.000 0.134 0.620 1
Dy1 Dy 0.000 0.205 0.329 1
Mg1 Mg 0.000 0.446 0.774 1
Te1 Te 0.000 0.050 0.393 1
Te2 Te 0.000 0.283 0.988 1
Te3 Te 0.000 0.312 0.666 1
Te4 Te 0.000 0.364 0.316 1
Te5 Te 0.000 0.496 0.094 1
```

Computed properties:
Density of states at the Fermi level = 2.04 states/eV/f.u.
M_tot = 0.000 μB per formula unit
Energy relative to the elements, uncorrected = -1.2418 eV per atom
VASP energy = -4.735 eV/atom

# 7
First-principles (PBE) data for a relaxed NdDyThMg crystal, as listed in Alexandria via LeMat-Bulk.

Geometry as CIF:
```
data_NdDyThMg
_chemical_formula_sum 'Nd1 Dy1 Th1 Mg1'
_space_group_name_H-M_alt 'P 4 m m'
_space_group_IT_number 99
_space_group_name_Hall 'P 4 -2'
_cell_length_a 3.618
_cell_length_b 3.618
_cell_length_c 9.312
_cell_angle_alpha 90.00
_cell_angle_beta 90.00
_cell_angle_gamma 90.00
loop_
_atom_site_label
_atom_site_type_symbol
_atom_site_fract_x
_atom_site_fract_y
_atom_site_fract_z
_atom_site_occupancy
Nd1 Nd 0.000 0.000 0.000 1
Dy1 Dy 0.000 0.000 0.482 1
Th1 Th 0.500 0.500 0.736 1
Mg1 Mg 0.500 0.500 0.249 1
```

Computed properties:
E_form = -0.046 eV per atom
Density of states at the Fermi level = 3.88 states/eV/f.u.
M_tot = 0.000 μB per formula unit
Relative energy among the computed polymorphs = 0 meV per atom
VASP energy = -4.642 eV/atom

# 8
First-principles (PBE) data for a relaxed NdDyThMg crystal, as listed in Alexandria via LeMat-Bulk.

Geometry as CIF:
```
data_NdDyThMg
_chemical_formula_sum 'Nd4 Dy4 Th4 Mg4'
_space_group_name_H-M_alt 'F -4 3 m'
_space_group_IT_number 216
_space_group_name_Hall 'F -4 2 3'
_cell_length_a 7.888
_cell_length_b 7.888
_cell_length_c 7.888
_cell_angle_alpha 90.00
_cell_angle_beta 90.00
_cell_angle_gamma 90.00
loop_
_atom_site_label
_atom_site_type_symbol
_atom_site_fract_x
_atom_site_fract_y
_atom_site_fract_z
_atom_site_occupancy
Nd1 Nd 0.000 0.000 0.000 1
Dy1 Dy 0.000 0.000 0.500 1
Th1 Th 0.250 0.250 0.250 1
Mg1 Mg 0.250 0.250 0.750 1
```

Computed properties:
E_form = 0.156 eV per atom
Density of states at the Fermi level = 6.96 states/eV/f.u.
M_tot = 0.001 μB per formula unit
Relative energy among the computed polymorphs = 202 meV per atom
VASP energy = -4.440 eV/atom

> What is the VASP energy in the fourth record?

-4.164 eV/atom

> What is the formula in the third record?

Tb2NdDyMg

> Look up the VASP energy of the first one.

-4.291 eV/atom